(1)
Material: HfFe2Sb2
Method: DFT, PBE-GGA
State: relaxed

* distance to the lowest polymorph of the same formula: 75 kJ/mol of formula units

abc: 7.5580 7.5580 2.9751
angles: 90.00 90.00 90.00
Fractional positions:
1 Hf 0.0000 0.0000 0.0000
2 Hf 0.5000 0.5000 0.0000
3 Fe 0.1413 0.3587 0.5000
4 Fe 0.3587 0.8587 0.5000
5 Fe 0.6413 0.1413 0.5000
6 Fe 0.8587 0.6413 0.5000
7 Sb 0.1513 0.6513 0.0000
8 Sb 0.3487 0.1513 0.0000
9 Sb 0.6513 0.8487 0.0000
10 Sb 0.8487 0.3487 0.0000

(2)
Material: Hf4FeSb
Method: DFT, PBE-GGA
State: relaxed

abc: 7.3750 6.7122 5.6579
angles: 90.00 106.61 90.00
Fractional positions:
1 Hf 0.1436 0.1507 0.1379
2 Hf 0.1436 0.3493 0.6379
3 Hf 0.2440 0.6742 0.2740
4 Hf 0.2440 0.8258 0.7740
5 Hf 0.7560 0.1742 0.2260
6 Hf 0.7560 0.3258 0.7260
7 Hf 0.8564 0.6507 0.3621
8 Hf 0.8564 0.8493 0.8621
9 Fe 0.0000 0.0000 0.5000
10 Fe 0.0000 0.5000 0.0000
11 Sb 0.5000 0.0000 0.5000
12 Sb 0.5000 0.5000 0.0000

(3)
Material: Hf6Fe2Sb
Method: DFT, PBE-GGA
State: relaxed

abc: 7.7797 7.7797 7.7797
angles: 114.01 113.43 101.27
Fractional positions:
1 Hf 0.0310 0.2391 0.7919
2 Hf 0.1838 0.3027 0.4865
3 Hf 0.1838 0.6973 0.8812
4 Hf 0.3330 0.0206 0.6876
5 Hf 0.3330 0.6454 0.3124
6 Hf 0.4471 0.2391 0.2081
7 Hf 0.5529 0.7609 0.7919
8 Hf 0.6670 0.3546 0.6876
9 Hf 0.6670 0.9794 0.3124
10 Hf 0.8162 0.3027 0.1188
11 Hf 0.8162 0.6973 0.5135
12 Hf 0.9690 0.7609 0.2081
13 Fe 0.1321 0.6321 0.5000
14 Fe 0.3363 0.0000 0.3363
15 Fe 0.6637 0.0000 0.6637
16 Fe 0.8679 0.3679 0.5000
17 Sb 0.0000 0.0000 0.0000
18 Sb 0.5000 0.5000 0.0000

(4)
Material: Hf5FeSb
Method: DFT, PBE-GGA
State: relaxed

abc: 5.3069 5.3069 10.6536
angles: 101.05 101.05 86.44
Fractional positions:
1 Hf 0.0145 0.9855 0.7500
2 Hf 0.0748 0.4314 0.6236
3 Hf 0.2141 0.5197 0.9321
4 Hf 0.4314 0.0748 0.1236
5 Hf 0.4803 0.7859 0.5679
6 Hf 0.5197 0.2141 0.4321
7 Hf 0.5686 0.9252 0.8764
8 Hf 0.7859 0.4803 0.0679
9 Hf 0.9252 0.5686 0.3764
10 Hf 0.9855 0.0145 0.2500
11 Fe 0.0000 0.0000 0.0000
12 Fe 0.0000 0.0000 0.5000
13 Sb 0.3842 0.6158 0.2500
14 Sb 0.6158 0.3842 0.7500

(5)
Material: HfFe2Sb
Method: DFT, PBE-GGA
State: relaxed

abc: 4.3110 4.3110 3.2639
angles: 90.00 90.00 90.00
Fractional positions:
1 Hf 0.0000 0.0000 0.0000
2 Fe 0.0000 0.5000 0.5000
3 Fe 0.5000 0.0000 0.5000
4 Sb 0.5000 0.5000 0.0000

(6)
Material: HfFe2Sb2
Method: DFT, PBE-GGA
State: relaxed

* distance to the lowest polymorph of the same formula: 77 kJ/mol of formula units

abc: 6.0882 6.0882 6.0882
angles: 140.52 140.52 57.06
Fractional positions:
1 Hf 0.0000 0.0000 0.0000
2 Fe 0.2500 0.7500 0.5000
3 Fe 0.7500 0.2500 0.5000
4 Sb 0.3709 0.3709 0.0000
5 Sb 0.6291 0.6291 0.0000

(7)
Material: HfScFe2Sb
Method: DFT, PBE-GGA
State: relaxed

abc: 4.5438 4.5438 5.3898
angles: 90.00 90.00 90.00
Fractional positions:
1 Hf 0.0000 0.0000 0.0000
2 Sc 0.0000 0.0000 0.5000
3 Fe 0.0000 0.5000 0.0000
4 Fe 0.5000 0.0000 0.0000
5 Sb 0.5000 0.5000 0.5000

(8)
Material: HfFeSbTe2
Method: DFT, PBE-GGA
State: relaxed

* distance to the lowest polymorph of the same formula: 0 kJ/mol of formula units

abc: 5.1072 5.1072 4.8023
angles: 90.00 90.00 90.00
Fractional positions:
1 Hf 0.0000 0.0000 0.0000
2 Fe 0.5000 0.5000 0.5000
3 Sb 0.5000 0.5000 0.0000
4 Te 0.0000 0.5000 0.5000
5 Te 0.5000 0.0000 0.5000

Sequential energy output: -68.27, -105.35, -165.19, -125.42, -31.55, -34.11, -32.30, -26.16 eV for the cell shown